Na4Sm3InS8 | PBE | optimized geometry

abc: 8.1716 8.1716 8.1716
angles: 58.94 58.94 58.94
Closest atoms and distances in Å follow each position.
Element x y z (fractional)
1 Na 0.0000 0.0000 0.0000  6 S 3.01
2 Na 0.0000 0.5000 0.5000  6 S 2.92-2.94
3 Na 0.5000 0.0000 0.5000  6 S 2.92-2.94
4 Na 0.5000 0.5000 0.0000  6 S 2.92-2.94
5 Sm 0.0000 0.0000 0.5000  6 S 2.79-2.82
6 Sm 0.0000 0.5000 0.0000  6 S 2.79-2.82
7 Sm 0.5000 0.0000 0.0000  6 S 2.79-2.82
8 In 0.5000 0.5000 0.5000  6 S 2.72-2.73
9 S 0.2436 0.2436 0.2436  3 Sm 2.79, 3 Na 2.94
10 S 0.2535 0.7378 0.7378  1 In 2.72, 2 Sm 2.82, 3 Na 2.92-3.01
11 S 0.2622 0.2622 0.7465  1 In 2.72, 2 Sm 2.82, 3 Na 2.92-3.01
12 S 0.2622 0.7465 0.2622  1 In 2.72, 2 Sm 2.82, 3 Na 2.92-3.01
13 S 0.7378 0.2535 0.7378  1 In 2.73, 2 Sm 2.82, 3 Na 2.92-3.01
14 S 0.7378 0.7378 0.2535  1 In 2.73, 2 Sm 2.82, 3 Na 2.92-3.01
15 S 0.7465 0.2622 0.2622  1 In 2.73, 2 Sm 2.82, 3 Na 2.92-3.01
16 S 0.7564 0.7564 0.7564  3 Sm 2.79, 3 Na 2.94

Properties
The calculation puts the total energy at -5.00 eV per atom. The spin magnetization comes out at 0.00 μB per cell.


NaSmIn4S8 | PBE | optimized geometry

abc: 7.9731 7.9731 7.9731
angles: 59.18 59.18 59.18
Closest atoms and distances in Å follow each position.
Element x y z (fractional)
1 Na 0.0000 0.0000 0.0000  4 S 2.61-2.62
2 Sm 0.6374 0.6374 0.6374  6 S 2.73-2.86
3 In 0.1103 0.6350 0.6350  6 S 2.58-2.78
4 In 0.2515 0.2515 0.2515  4 S 2.54-2.69
5 In 0.6350 0.1103 0.6350  6 S 2.58-2.78
6 In 0.6350 0.6350 0.1103  6 S 2.58-2.78
7 S 0.3834 0.3834 0.8568  3 In 2.54-2.78
8 S 0.3834 0.8568 0.3834  3 In 2.54-2.78
9 S 0.3886 0.3886 0.3886  4 In 2.69-2.77
10 S 0.4034 0.8811 0.8811  2 In 2.58, 1 Na 2.61, 1 Sm 2.73
11 S 0.8568 0.3834 0.3834  3 In 2.54-2.78
12 S 0.8668 0.8668 0.8668  3 In 2.60, 1 Na 2.62
13 S 0.8811 0.4034 0.8811  2 In 2.58, 1 Na 2.61, 1 Sm 2.73
14 S 0.8811 0.8811 0.4034  2 In 2.58, 1 Na 2.61, 1 Sm 2.73

Properties
The calculation puts the total energy at -4.43 eV per atom. The spin magnetization comes out at 0.00 μB per cell.


Na4SmIn3S8 | PBE | optimized geometry

abc: 8.1147 8.1147 8.1147
angles: 57.45 57.45 57.45
Closest atoms and distances in Å follow each position.
Element x y z (fractional)
1 Na 0.0000 0.0000 0.0000  6 S 2.85
2 Na 0.0000 0.5000 0.5000  6 S 2.93-2.97
3 Na 0.5000 0.0000 0.5000  6 S 2.93-2.97
4 Na 0.5000 0.5000 0.0000  6 S 2.93-2.97
5 Sm 0.5000 0.5000 0.5000  6 S 2.79
6 In 0.0000 0.0000 0.5000  6 S 2.67-2.70
7 In 0.0000 0.5000 0.0000  6 S 2.67-2.70
8 In 0.5000 0.0000 0.0000  6 S 2.67-2.70
9 S 0.2320 0.7479 0.7479  2 In 2.70, 1 Sm 2.79, 3 Na 2.85-2.93
10 S 0.2378 0.2378 0.2378  3 In 2.67, 3 Na 2.97
11 S 0.2521 0.2521 0.7680  2 In 2.70, 1 Sm 2.79, 3 Na 2.85-2.93
12 S 0.2521 0.7680 0.2521  2 In 2.70, 1 Sm 2.79, 3 Na 2.85-2.93
13 S 0.7479 0.2320 0.7479  2 In 2.70, 1 Sm 2.79, 3 Na 2.85-2.93
14 S 0.7479 0.7479 0.2320  2 In 2.70, 1 Sm 2.79, 3 Na 2.85-2.93
15 S 0.7622 0.7622 0.7622  3 In 2.67, 3 Na 2.97
16 S 0.7680 0.2521 0.2521  2 In 2.70, 1 Sm 2.79, 3 Na 2.85-2.93

Properties
The calculation puts the total energy at -4.28 eV per atom. The spin magnetization comes out at 0.00 μB per cell.


Na2In2SnS6 | PBE | optimized geometry

abc: 6.5681 6.5681 7.1970
angles: 98.81 98.81 119.79
Closest atoms and distances in Å follow each position.
Element x y z (fractional)
1 Na 0.1672 0.8328 0.0000  6 S 2.91-2.95
2 Na 0.8328 0.1672 0.0000  6 S 2.91-2.95
3 In 0.3306 0.6694 0.5000  6 S 2.63-2.68
4 In 0.6694 0.3306 0.5000  6 S 2.63-2.68
5 Sn 0.0000 0.0000 0.5000  6 S 2.57-2.61
6 S 0.0696 0.3980 0.7165  1 Sn 2.61, 2 In 2.63-2.68, 1 Na 2.91
7 S 0.2523 0.2523 0.2898  1 Sn 2.57, 2 In 2.67
8 S 0.3980 0.0696 0.7165  1 Sn 2.61, 2 In 2.63-2.68, 1 Na 2.91
9 S 0.6020 0.9304 0.2835  1 Sn 2.61, 2 In 2.63-2.68, 1 Na 2.91
10 S 0.7477 0.7477 0.7102  1 Sn 2.57, 2 In 2.67
11 S 0.9304 0.6020 0.2835  1 Sn 2.61, 2 In 2.63-2.68, 1 Na 2.91

Properties
The calculation puts the total energy at -4.09 eV per atom. The spin magnetization comes out at 0.00 μB per cell.


Na4In3SnS8 | PBE | optimized geometry

abc: 8.0820 8.0820 8.0820
angles: 57.22 57.22 57.22
Closest atoms and distances in Å follow each position.
Element x y z (fractional)
1 Na 0.0000 0.0000 0.0000  6 S 2.88
2 Na 0.0000 0.5000 0.5000  6 S 2.93
3 Na 0.5000 0.0000 0.5000  6 S 2.93
4 Na 0.5000 0.5000 0.0000  6 S 2.93
5 In 0.0000 0.0000 0.5000  6 S 2.67-2.68
6 In 0.0000 0.5000 0.0000  6 S 2.67-2.68
7 In 0.5000 0.0000 0.0000  6 S 2.67-2.68
8 Sn 0.5000 0.5000 0.5000  6 S 2.73
9 S 0.2334 0.7445 0.7445  2 In 2.67, 1 Sn 2.73, 3 Na 2.88-2.93
10 S 0.2395 0.2395 0.2395  3 In 2.68, 3 Na 2.93
11 S 0.2555 0.2555 0.7666  2 In 2.67, 1 Sn 2.73, 3 Na 2.88-2.93
12 S 0.2555 0.7666 0.2555  2 In 2.67, 1 Sn 2.73, 3 Na 2.88-2.93
13 S 0.7445 0.2334 0.7445  2 In 2.67, 1 Sn 2.73, 3 Na 2.88-2.93
14 S 0.7445 0.7445 0.2334  2 In 2.67, 1 Sn 2.73, 3 Na 2.88-2.93
15 S 0.7605 0.7605 0.7605  3 In 2.68, 3 Na 2.93
16 S 0.7666 0.2555 0.2555  2 In 2.67, 1 Sn 2.73, 3 Na 2.88-2.93

Properties
The calculation puts the total energy at -3.98 eV per atom. The spin magnetization comes out at 0.00 μB per cell.


NaInSnS4 | PBE | optimized geometry

abc: 6.6589 6.6589 6.6589
angles: 122.81 122.81 85.20
Closest atoms and distances in Å follow each position.
Element x y z (fractional)
1 Na 0.0000 0.0000 0.0000  4 S 2.83
2 In 0.2500 0.7500 0.5000  4 S 2.50
3 Sn 0.5000 0.5000 0.0000  4 S 2.43
4 S 0.1417 0.5893 0.0060  1 Sn 2.43, 1 In 2.50
5 S 0.4107 0.4167 0.5524  1 Sn 2.43, 1 In 2.50
6 S 0.5833 0.1357 0.9940  1 Sn 2.43, 1 In 2.50
7 S 0.8643 0.8583 0.4476  1 Sn 2.43, 1 In 2.50

Properties
The calculation puts the total energy at -4.15 eV per atom. The spin magnetization comes out at 0.00 μB per cell.


Repeat the sixth record exactly.
NaInSnS4 | PBE | optimized geometry

abc: 6.6589 6.6589 6.6589
angles: 122.81 122.81 85.20
Closest atoms and distances in Å follow each position.
Element x y z (fractional)
1 Na 0.0000 0.0000 0.0000  4 S 2.83
2 In 0.2500 0.7500 0.5000  4 S 2.50
3 Sn 0.5000 0.5000 0.0000  4 S 2.43
4 S 0.1417 0.5893 0.0060  1 Sn 2.43, 1 In 2.50
5 S 0.4107 0.4167 0.5524  1 Sn 2.43, 1 In 2.50
6 S 0.5833 0.1357 0.9940  1 Sn 2.43, 1 In 2.50
7 S 0.8643 0.8583 0.4476  1 Sn 2.43, 1 In 2.50

Properties
The calculation puts the total energy at -4.15 eV per atom. The spin magnetization comes out at 0.00 μB per cell.


Copy entry 6 word for word.
NaInSnS4 | PBE | optimized geometry

abc: 6.6589 6.6589 6.6589
angles: 122.81 122.81 85.20
Closest atoms and distances in Å follow each position.
Element x y z (fractional)
1 Na 0.0000 0.0000 0.0000  4 S 2.83
2 In 0.2500 0.7500 0.5000  4 S 2.50
3 Sn 0.5000 0.5000 0.0000  4 S 2.43
4 S 0.1417 0.5893 0.0060  1 Sn 2.43, 1 In 2.50
5 S 0.4107 0.4167 0.5524  1 Sn 2.43, 1 In 2.50
6 S 0.5833 0.1357 0.9940  1 Sn 2.43, 1 In 2.50
7 S 0.8643 0.8583 0.4476  1 Sn 2.43, 1 In 2.50

Properties
The calculation puts the total energy at -4.15 eV per atom. The spin magnetization comes out at 0.00 μB per cell.